# Er2Al2Tc2C, relaxed, DFT GGA-PBE
data_Er2Al2Tc2C
_chemical_formula_sum 'Er4 Al4 Tc4 C2'
_space_group_name_H-M_alt 'C 1 2/m 1'
_space_group_IT_number 12
_cell_length_a 11.373
_cell_length_b 3.416
_cell_length_c 6.579
_cell_angle_alpha 90.00
_cell_angle_beta 108.73
_cell_angle_gamma 90.00
loop_
_space_group_symop_operation_xyz
'x,y,z'
'-x,-y,-z'
'-x,y,-z'
'x,-y,z'
'x+1/2,y+1/2,z'
'-x+1/2,-y+1/2,-z'
'-x+1/2,y+1/2,-z'
'x+1/2,-y+1/2,z'
loop_
_atom_site_label
_atom_site_type_symbol
_atom_site_fract_x
_atom_site_fract_y
_atom_site_fract_z
Er1 Er 0.004 0.000 0.258
Al1 Al 0.196 0.500 0.622
Tc1 Tc 0.182 0.500 0.090
C1 C 0.000 0.500 0.000
# * crystal system: monoclinic
# * DFT formation energy: -35 kJ per mole of atoms
# * E_tot: -98.2 eV/cell
# * ρ: 8.184 Mg/m³